No. 1
A plane-wave DFT calculation with PBE was carried out for an optimized crystal structure of Tm2Ag2F7.

```
data_Tm2Ag2F7
_cell_length_a 8.028
_cell_length_b 7.207
_cell_length_c 6.107
_cell_angle_alpha 90.00
_cell_angle_beta 90.22
_cell_angle_gamma 90.00
_space_group_name_H-M_alt 'C 1 2/m 1'
_space_group_IT_number 12
loop_
_space_group_symop_operation_xyz
'x,y,z'
'-x,-y,-z'
'-x,y,-z'
'x,-y,z'
'x+1/2,y+1/2,z'
'-x+1/2,-y+1/2,-z'
'-x+1/2,y+1/2,-z'
'x+1/2,-y+1/2,z'
loop_
_atom_site_label
_atom_site_type_symbol
_atom_site_fract_x
_atom_site_fract_y
_atom_site_fract_z
_atom_site_occupancy
Tm1 Tm 0.224 0.000 0.000 1
Ag1 Ag 0.000 0.309 0.500 1
F1 F 0.000 0.500 0.000 1
F2 F 0.001 0.000 0.207 1
F3 F 0.249 0.250 0.790 1
```

N(E_F) in states/eV/cell: 5.1
Raw total energy in eV/atom: -5.548
Magnetic moment in μB per atom: 0.000

---

No. 2
A plane-wave DFT calculation with PBE was carried out for an optimized crystal structure of Ba3Mo.

```
data_Ba3Mo
_cell_length_a 6.210
_cell_length_b 6.210
_cell_length_c 8.801
_cell_angle_alpha 90.00
_cell_angle_beta 90.00
_cell_angle_gamma 90.00
_space_group_name_H-M_alt 'I 4/m m m'
_space_group_IT_number 139
_space_group_name_Hall '-I 4 2'
loop_
_atom_site_label
_atom_site_type_symbol
_atom_site_fract_x
_atom_site_fract_y
_atom_site_fract_z
_atom_site_occupancy
Ba1 Ba 0.000 0.000 0.000 1
Ba2 Ba 0.000 0.500 0.250 1
Mo1 Mo 0.000 0.000 0.500 1
```

Formation energy in meV per atom: 889
ΔE to the lowest computed polymorph in meV/atom: 123
N(E_F) in states/eV/cell: 9.1
Raw total energy in eV/atom: -3.261
Magnetic moment in μB per atom: 0.777

---

No. 3
A plane-wave DFT calculation with PBE was carried out for an optimized crystal structure of Er2BeZnPd6.

```
data_Er2BeZnPd6
_cell_length_a 5.506
_cell_length_b 5.955
_cell_length_c 6.354
_cell_angle_alpha 81.74
_cell_angle_beta 67.28
_cell_angle_gamma 65.98
_space_group_name_H-M_alt 'P -1'
_space_group_IT_number 2
loop_
_space_group_symop_operation_xyz
'x,y,z'
'-x,-y,-z'
loop_
_atom_site_label
_atom_site_type_symbol
_atom_site_fract_x
_atom_site_fract_y
_atom_site_fract_z
_atom_site_occupancy
Er1 Er 0.005 0.237 0.263 1
Be1 Be 0.500 0.500 0.000 1
Zn1 Zn 0.500 0.000 0.500 1
Pd1 Pd 0.012 0.708 0.259 1
Pd2 Pd 0.374 0.890 0.905 1
Pd3 Pd 0.490 0.342 0.703 1
```

Formation energy in meV per atom: -645
N(E_F) in states/eV/cell: 2.7
Raw total energy in eV/atom: -5.174
Magnetic moment in μB per atom: 0.000

---

No. 4
A plane-wave DFT calculation with PBE was carried out for an optimized crystal structure of Ho5Cu4Hg.

```
data_Ho5Cu4Hg
_cell_length_a 3.476
_cell_length_b 3.476
_cell_length_c 17.810
_cell_angle_alpha 90.00
_cell_angle_beta 90.00
_cell_angle_gamma 90.00
_space_group_name_H-M_alt 'P 4/m m m'
_space_group_IT_number 123
_space_group_name_Hall '-P 4 2'
loop_
_atom_site_label
_atom_site_type_symbol
_atom_site_fract_x
_atom_site_fract_y
_atom_site_fract_z
_atom_site_occupancy
Ho1 Ho 0.000 0.000 0.000 1
Ho2 Ho 0.000 0.000 0.193 1
Ho3 Ho 0.000 0.000 0.385 1
Cu1 Cu 0.500 0.500 0.097 1
Cu2 Cu 0.500 0.500 0.289 1
Hg1 Hg 0.500 0.500 0.500 1
```

Formation energy in meV per atom: -302
N(E_F) in states/eV/cell: 6.6
Raw total energy in eV/atom: -4.260
Magnetic moment in μB per atom: 0.000

---

No. 5
A plane-wave DFT calculation with PBE was carried out for an optimized crystal structure of K3HfTh3Se8.

```
data_K3HfTh3Se8
_cell_length_a 8.2623
_cell_length_b 8.2623
_cell_length_c 24.1378
_cell_angle_alpha 90.00
_cell_angle_beta 90.00
_cell_angle_gamma 120.00
_space_group_name_H-M_alt 'R -3 m'
_space_group_IT_number 166
_space_group_name_Hall '-R 3 2"'
loop_
_atom_site_label
_atom_site_type_symbol
_atom_site_fract_x
_atom_site_fract_y
_atom_site_fract_z
_atom_site_occupancy
K1 K 0.0000 0.5000 0.0000 1
Hf1 Hf 0.0000 0.0000 0.5000 1
Th1 Th 0.0000 0.5000 0.5000 1
Se1 Se 0.0000 0.0000 0.2409 1
Se2 Se 0.0226 0.5113 0.2340 1
```

N(E_F) in states/eV/cell: 31.1
Raw total energy in eV/atom: -5.737
Magnetic moment in μB per atom: 0.000

---

No. 6
A plane-wave DFT calculation with PBE was carried out for an optimized crystal structure of K2Al3SnAu12.

```
data_K2Al3SnAu12
_cell_length_a 7.1057
_cell_length_b 7.1057
_cell_length_c 29.0284
_cell_angle_alpha 90.00
_cell_angle_beta 90.00
_cell_angle_gamma 120.00
_space_group_name_H-M_alt 'R -3 m'
_space_group_IT_number 166
_space_group_name_Hall '-R 3 2"'
loop_
_atom_site_label
_atom_site_type_symbol
_atom_site_fract_x
_atom_site_fract_y
_atom_site_fract_z
_atom_site_occupancy
K1 K 0.0000 0.0000 0.1525 1
Al1 Al 0.0000 0.5000 0.0000 1
Sn1 Sn 0.0000 0.0000 0.5000 1
Au1 Au 0.0579 0.5289 0.0909 1
Au2 Au 0.0623 0.5311 0.6237 1
```

Formation energy in meV per atom: -150
N(E_F) in states/eV/cell: 20.0
Raw total energy in eV/atom: -3.303
Magnetic moment in μB per atom: 0.000

---

No. 7
A plane-wave DFT calculation with PBE was carried out for an optimized crystal structure of Ti2AsW2.

```
data_Ti2AsW2
_cell_length_a 6.330
_cell_length_b 6.330
_cell_length_c 4.151
_cell_angle_alpha 90.00
_cell_angle_beta 90.00
_cell_angle_gamma 90.00
_space_group_name_H-M_alt 'P 4/m b m'
_space_group_IT_number 127
_space_group_name_Hall '-P 4 2ab'
loop_
_atom_site_label
_atom_site_type_symbol
_atom_site_fract_x
_atom_site_fract_y
_atom_site_fract_z
_atom_site_occupancy
Ti1 Ti 0.146 0.354 0.000 1
As1 As 0.000 0.000 0.000 1
W1 W 0.173 0.673 0.500 1
```

Formation energy in meV per atom: 410
ΔE to the lowest computed polymorph in meV/atom: 37
N(E_F) in states/eV/cell: 7.9
Raw total energy in eV/atom: -8.859
Magnetic moment in μB per atom: 0.000

---

No. 8
A plane-wave DFT calculation with PBE was carried out for an optimized crystal structure of LaIn2Sn2.

```
data_LaIn2Sn2
_cell_length_a 4.833
_cell_length_b 4.833
_cell_length_c 12.888
_cell_angle_alpha 90.00
_cell_angle_beta 90.00
_cell_angle_gamma 90.00
_space_group_name_H-M_alt 'I 4/m m m'
_space_group_IT_number 139
_space_group_name_Hall '-I 4 2'
loop_
_atom_site_label
_atom_site_type_symbol
_atom_site_fract_x
_atom_site_fract_y
_atom_site_fract_z
_atom_site_occupancy
La1 La 0.000 0.000 0.000 1
In1 In 0.000 0.000 0.393 1
Sn1 Sn 0.000 0.500 0.250 1
```

Formation energy in meV per atom: -157
ΔE to the lowest computed polymorph in meV/atom: 222
N(E_F) in states/eV/cell: 7.7
Raw total energy in eV/atom: -3.839
Magnetic moment in μB per atom: 0.000

---

No. 9
A plane-wave DFT calculation with PBE was carried out for an optimized crystal structure of NdDy5Al6.

```
data_NdDy5Al6
_cell_length_a 5.110
_cell_length_b 15.345
_cell_length_c 7.262
_cell_angle_alpha 90.00
_cell_angle_beta 90.00
_cell_angle_gamma 90.00
_space_group_name_H-M_alt 'C m m m'
_space_group_IT_number 65
_space_group_name_Hall '-C 2 2'
loop_
_atom_site_label
_atom_site_type_symbol
_atom_site_fract_x
_atom_site_fract_y
_atom_site_fract_z
_atom_site_occupancy
Nd1 Nd 0.000 0.000 0.000 1
Dy1 Dy 0.000 0.000 0.500 1
Dy2 Dy 0.000 0.332 0.000 1
Dy3 Dy 0.000 0.336 0.500 1
Al1 Al 0.000 0.169 0.255 1
Al2 Al 0.000 0.500 0.254 1
```

Formation energy in meV per atom: -388
N(E_F) in states/eV/cell: 8.7
Raw total energy in eV/atom: -4.574
Magnetic moment in μB per atom: 0.000

---

No. 10
A plane-wave DFT calculation with PBE was carried out for an optimized crystal structure of La2AlRuPb.

```
data_La2AlRuPb
_cell_length_a 5.410
_cell_length_b 5.410
_cell_length_c 4.895
_cell_angle_alpha 90.00
_cell_angle_beta 90.00
_cell_angle_gamma 90.00
_space_group_name_H-M_alt 'P 4/m m m'
_space_group_IT_number 123
_space_group_name_Hall '-P 4 2'
loop_
_atom_site_label
_atom_site_type_symbol
_atom_site_fract_x
_atom_site_fract_y
_atom_site_fract_z
_atom_site_occupancy
La1 La 0.000 0.500 0.000 1
Al1 Al 0.000 0.000 0.500 1
Ru1 Ru 0.000 0.000 0.000 1
Pb1 Pb 0.500 0.500 0.500 1
```

Formation energy in meV per atom: -416
N(E_F) in states/eV/cell: 5.0
Raw total energy in eV/atom: -5.732
Magnetic moment in μB per atom: 0.000

---

No. 11
A plane-wave DFT calculation with PBE was carried out for an optimized crystal structure of CsRb2AuSe.

```
data_CsRb2AuSe
_cell_length_a 6.526
_cell_length_b 6.526
_cell_length_c 6.912
_cell_angle_alpha 90.00
_cell_angle_beta 90.00
_cell_angle_gamma 90.00
_space_group_name_H-M_alt 'P 4/m m m'
_space_group_IT_number 123
_space_group_name_Hall '-P 4 2'
loop_
_atom_site_label
_atom_site_type_symbol
_atom_site_fract_x
_atom_site_fract_y
_atom_site_fract_z
_atom_site_occupancy
Cs1 Cs 0.000 0.000 0.000 1
Rb1 Rb 0.000 0.500 0.500 1
Au1 Au 0.500 0.500 0.000 1
Se1 Se 0.000 0.000 0.500 1
```

Raw total energy in eV/atom: -2.524
Magnetic moment in μB per atom: 0.000

---

No. 12
A plane-wave DFT calculation with PBE was carried out for an optimized crystal structure of PdAuCl.

```
data_PdAuCl
_cell_length_a 12.720
_cell_length_b 3.056
_cell_length_c 5.846
_cell_angle_alpha 90.00
_cell_angle_beta 90.00
_cell_angle_gamma 90.00
_space_group_name_H-M_alt 'A m m 2'
_space_group_IT_number 38
loop_
_space_group_symop_operation_xyz
'x,y,z'
'-x,-y,z'
'-x,y,z'
'x,-y,z'
'x,y+1/2,z+1/2'
'-x,-y+1/2,z+1/2'
'-x,y+1/2,z+1/2'
'x,-y+1/2,z+1/2'
loop_
_atom_site_label
_atom_site_type_symbol
_atom_site_fract_x
_atom_site_fract_y
_atom_site_fract_z
_atom_site_occupancy
Pd1 Pd 0.000 0.000 0.000 1
Pd2 Pd 0.500 0.000 0.298 1
Au1 Au 0.163 0.000 0.317 1
Cl1 Cl 0.354 0.000 0.796 1
```

N(E_F) in states/eV/cell: 6.3
Raw total energy in eV/atom: -3.355
Magnetic moment in μB per atom: 0.000